Record 1
Computed, not measured: a relaxed structure of Pr2ReB2 at the PBE-GGA level of DFT.

Cell lengths 6.9425, 5.4607, 10.7778 Å; angles 90.00, 90.00, 90.00 degrees
Space group Pnma (No. 62)
Unique sites:
Pr 0.0171 0.2500 0.2256
Pr 0.2054 0.2500 0.5445
Re 0.2303 0.2500 0.8555
B 0.0329 0.7500 0.2433
B 0.1966 0.7500 0.5357

***

Record 2
Computed, not measured: a relaxed structure of PmBiN2O at the PBE-GGA level of DFT.

Cell lengths 8.7079, 5.8446, 5.8622 Å; angles 90.00, 90.00, 90.00 degrees
Space group Ima2 (No. 46)
Unique sites:
Pm 0.2500 0.0278 0.0000
Bi 0.0000 0.0000 0.5143
N 0.0797 0.2433 0.2596
O 0.2500 0.6276 0.0554

***

Record 3
Computed, not measured: a relaxed structure of ReAgSn2 at the PBE-GGA level of DFT.

Cell lengths 6.8430, 6.8430, 6.8430 Å; angles 90.00, 90.00, 90.00 degrees
Space group F-43m (No. 216)
Unique sites:
Re 0.0000 0.0000 0.0000
Ag 0.2500 0.2500 0.2500
Sn 0.0000 0.0000 0.5000
Sn 0.2500 0.2500 0.7500

***

The records above yield total DFT energy (no corrections) values of -7.10 -6.62 -4.94 eV/atom, respectively.